Record 1
16
Lattice="7.657 0.000 0.000 0.000 12.445 0.000 -3.368 0.000 8.139" Properties=species:S:1:pos:R:3 comment="NpIBr6, optimized geometry, DFT PBE" final_energy_ev_per_fu=-30.92 magmom_total_mub_per_fu=2.0 sg=C2/m pbc="T T T"
Np 0.000 0.000 0.000
Np 3.828 6.222 0.000
I -1.684 6.222 4.069
I 2.144 0.000 4.069
Br -2.415 1.867 6.532
Br -2.415 10.577 6.532
Br -2.032 6.222 6.776
Br 2.492 0.000 1.362
Br 2.875 4.355 1.606
Br 2.875 8.090 1.606
Br 1.413 4.355 6.532
Br 1.413 8.090 6.532
Br 1.796 0.000 6.776
Br 6.321 6.222 1.362
Br 6.703 1.867 1.606
Br 6.703 10.577 1.606

Record 2
5
Lattice="5.544 0.000 0.000 0.000 5.544 0.000 0.000 0.000 5.544" Properties=species:S:1:pos:R:3 comment="KBi3Pd, optimized geometry, DFT PBE" relative_energy_kj_per_mol_fu=121.4 formation_energy_mev_per_atom=-17 magmom_total_mub_per_fu=0.0 sg=Pm-3m pbc="T T T"
K 0.000 0.000 0.000
Bi 0.000 2.772 2.772
Bi 2.772 0.000 2.772
Bi 2.772 2.772 0.000
Pd 2.772 2.772 2.772

Calculated DOS at the Fermi energy, 0.64 1.56 states/eV per atom (same order as the records).